{
  "formula": "AcTbIn",
  "functional": "PBE",
  "state": "optimized geometry",
  "lattice": [[0.000, 3.842, 3.842], [3.842, 0.000, 3.842], [3.842, 3.842, 0.000]],
  "species": ["Ac", "Tb", "In"],
  "fractional_positions": [[0.000, 0.000, 0.000], [0.500, 0.500, 0.500], [0.250, 0.250, 0.250]],
  "total_energy_ev_per_cell": -11.684,
  "relative_energy_ev_per_atom": 0.000,
  "spacegroup": "F-43m (216)"
}

---

{
  "formula": "Dy2Er2Tm2LuNi2Te2",
  "functional": "PBE",
  "state": "optimized geometry",
  "lattice": [[-1.912, 7.710, 4.748], [1.912, -7.710, 4.748], [1.912, 7.710, -4.748]],
  "species": ["Dy", "Dy", "Er", "Er", "Tm", "Tm", "Lu", "Ni", "Ni", "Te", "Te"],
  "fractional_positions": [[0.185, 0.000, 0.185], [0.815, 0.000, 0.815], [0.206, 0.352, 0.854], [0.498, 0.352, 0.146], [0.571, 0.205, 0.366], [0.839, 0.205, 0.634], [0.124, 0.624, 0.500], [0.429, 0.693, 0.736], [0.956, 0.693, 0.264], [0.462, 0.962, 0.500], [0.856, 0.856, 0.000]],
  "total_energy_ev_per_cell": -56.530,
  "relative_energy_ev_per_atom": 0.009,
  "spacegroup": "Imm2 (44)"
}

---

{
  "formula": "TmCd3Re4O12",
  "functional": "PBE",
  "state": "optimized geometry",
  "lattice": [[-3.885, 3.885, 3.885], [3.885, -3.885, 3.885], [3.885, 3.885, -3.885]],
  "species": ["Tm", "Cd", "Cd", "Cd", "Re", "Re", "Re", "Re", "O", "O", "O", "O", "O", "O", "O", "O", "O", "O", "O", "O"],
  "fractional_positions": [[0.000, 0.000, 0.000], [0.000, 0.500, 0.500], [0.500, 0.000, 0.500], [0.500, 0.500, 0.000], [0.000, 0.000, 0.500], [0.000, 0.500, 0.000], [0.500, 0.000, 0.000], [0.500, 0.500, 0.500], [0.094, 0.281, 0.813], [0.187, 0.468, 0.281], [0.187, 0.906, 0.719], [0.281, 0.187, 0.468], [0.281, 0.813, 0.094], [0.468, 0.281, 0.187], [0.532, 0.719, 0.813], [0.719, 0.187, 0.906], [0.719, 0.813, 0.532], [0.813, 0.094, 0.281], [0.813, 0.532, 0.719], [0.906, 0.719, 0.187]],
  "total_energy_ev_per_cell": -141.468,
  "spacegroup": "Im-3 (204)"
}

---

{
  "formula": "GdHoHg6",
  "functional": "PBE",
  "state": "optimized geometry",
  "lattice": [[6.602, 0.000, 0.000], [-3.301, 5.717, 0.000], [0.000, 0.000, 5.004]],
  "species": ["Gd", "Ho", "Hg", "Hg", "Hg", "Hg", "Hg", "Hg"],
  "fractional_positions": [[0.000, 0.000, 0.000], [0.667, 0.333, 0.500], [0.000, 0.500, 0.000], [0.167, 0.334, 0.500], [0.167, 0.833, 0.500], [0.500, 0.000, 0.000], [0.500, 0.500, 0.000], [0.666, 0.833, 0.500]],
  "total_energy_ev_per_cell": -13.818,
  "delta_e_f_ev_per_atom": -0.350,
  "spacegroup": "P-6m2 (187)"
}